The following is a DFT calculation (PBE) of a relaxed YNp2Pd9 crystal.

```
YNp2Pd9
1.0
4.1342 0.0000 0.0000
0.0000 4.1342 0.0000
0.0000 0.0000 12.4177
Y Np Pd
1 2 9
direct
0.0000 0.0000 0.0000
0.0000 0.0000 0.3322
0.0000 0.0000 0.6678
0.0000 0.5000 0.1685
0.0000 0.5000 0.5000
0.0000 0.5000 0.8315
0.5000 0.0000 0.1685
0.5000 0.0000 0.5000
0.5000 0.0000 0.8315
0.5000 0.5000 0.0000
0.5000 0.5000 0.3337
0.5000 0.5000 0.6663
```

Total DFT energy (no corrections) = -7.18 eV/atom
Space group = No. 123
DFT formation energy = -0.592 eV/atom
Calculated density = 11.90 g cm⁻³


The following is a DFT calculation (PBE) of a relaxed ScV2Au crystal.

```
ScV2Au
1.0
7.4368 0.0000 0.0000
0.0000 7.4368 0.0000
0.0000 0.0000 5.2302
Sc V Au
4 8 4
direct
0.0000 0.0000 0.0000
0.0000 0.5000 0.2500
0.5000 0.0000 0.7500
0.5000 0.5000 0.5000
0.2258 0.2500 0.6250
0.2500 0.7258 0.8750
0.2500 0.7742 0.3750
0.2742 0.2500 0.1250
0.7258 0.7500 0.1250
0.7500 0.2258 0.3750
0.7500 0.2742 0.8750
0.7742 0.7500 0.6250
0.0000 0.0000 0.5000
0.0000 0.5000 0.7500
0.5000 0.0000 0.2500
0.5000 0.5000 0.0000
```

Total DFT energy (no corrections) = -6.51 eV/atom
Space group = No. 122
DFT formation energy = 0.453 eV/atom
Calculated density = 7.89 g cm⁻³


The following is a DFT calculation (PBE) of a relaxed Tb2Pr2Y2In crystal.

```
Tb2Pr2Y2In
1.0
5.8746 0.0000 0.0000
0.0000 5.8645 0.0000
-2.9311 0.0000 12.9965
Tb Pr Y In
4 4 4 2
direct
0.0642 0.0000 0.1257
0.4358 0.5000 0.8743
0.5642 0.5000 0.1257
0.9358 0.0000 0.8743
0.2089 0.0000 0.4162
0.2911 0.5000 0.5838
0.7089 0.5000 0.4162
0.7911 0.0000 0.5838
0.1345 0.5000 0.2675
0.3655 0.0000 0.7325
0.6345 0.0000 0.2675
0.8655 0.5000 0.7325
0.0000 0.5000 0.0000
0.5000 0.0000 0.0000
```

Total DFT energy (no corrections) = -4.96 eV/atom
Space group = No. 12
DFT formation energy = -0.038 eV/atom
Calculated density = 6.62 g cm⁻³


The following is a DFT calculation (PBE) of a relaxed Sr2LiTlAu6 crystal.

```
Sr2LiTlAu6
1.0
6.6850 -2.7418 0.0000
6.6850 2.7418 0.0000
-6.5139 0.0000 6.8706
Sr Li Tl Au
2 1 1 6
direct
0.2459 0.2459 0.2071
0.7541 0.7541 0.7929
0.5000 0.5000 0.0000
0.0000 0.0000 0.5000
0.2394 0.7391 0.2204
0.2581 0.2581 0.5957
0.2609 0.7606 0.7796
0.7391 0.2394 0.2204
0.7419 0.7419 0.4043
0.7606 0.2609 0.7796
```

Total DFT energy (no corrections) = -3.17 eV/atom
Space group = No. 12
DFT formation energy = -0.442 eV/atom
Calculated density = 10.34 g cm⁻³


The following is a DFT calculation (PBE) of a relaxed ZnSeI2N crystal.

```
ZnSeI2N
1.0
6.0559 0.0000 0.0000
0.0000 6.0559 0.0000
0.0000 0.0000 3.7113
Zn Se I N
1 1 2 1
direct
0.0000 0.0000 0.0000
0.5000 0.5000 0.5000
0.0000 0.5000 0.5000
0.5000 0.0000 0.5000
0.5000 0.5000 0.0000
```

Total DFT energy (no corrections) = -2.41 eV/atom
Energy above the most stable polymorph in this dataset = 0.000 eV per atom
Space group = No. 123
Calculated density = 5.03 g cm⁻³


The following is a DFT calculation (PBE) of a relaxed Li3Sn6Br14 crystal.

```
Li3Sn6Br14
1.0
10.8048 0.0000 0.0000
-5.4024 9.3572 0.0000
0.0000 0.0000 7.0589
Li Sn Br
3 6 14
direct
0.0000 0.0000 0.0000
0.3333 0.6667 0.0952
0.6667 0.3333 0.6350
0.1139 0.3890 0.6618
0.2751 0.8861 0.6618
0.3590 0.2163 0.1597
0.6110 0.7249 0.6618
0.7837 0.1426 0.1597
0.8574 0.6410 0.1597
0.0872 0.5587 0.9437
0.1012 0.2410 0.2329
0.1398 0.8988 0.2329
0.2446 0.1343 0.7880
0.3333 0.6667 0.4599
0.4413 0.5285 0.9437
0.4715 0.9128 0.9437
0.5164 0.0911 0.4650
0.5747 0.4836 0.4650
0.6667 0.3333 0.9937
0.7590 0.8602 0.2329
0.8657 0.1103 0.7880
0.8897 0.7554 0.7880
0.9089 0.4253 0.4650
```

Total DFT energy (no corrections) = -3.18 eV/atom
Space group = No. 143
Calculated density = 4.31 g cm⁻³


> The lowest calculated density belongs to which entry?

Li3Sn6Br14


> Which value of calculated density does entry 5 give?

5.03 g cm⁻³


> Which formula does entry 4 have?

Sr2LiTlAu6


What did the third record say?
The following is a DFT calculation (PBE) of a relaxed Tb2Pr2Y2In crystal.

```
Tb2Pr2Y2In
1.0
5.8746 0.0000 0.0000
0.0000 5.8645 0.0000
-2.9311 0.0000 12.9965
Tb Pr Y In
4 4 4 2
direct
0.0642 0.0000 0.1257
0.4358 0.5000 0.8743
0.5642 0.5000 0.1257
0.9358 0.0000 0.8743
0.2089 0.0000 0.4162
0.2911 0.5000 0.5838
0.7089 0.5000 0.4162
0.7911 0.0000 0.5838
0.1345 0.5000 0.2675
0.3655 0.0000 0.7325
0.6345 0.0000 0.2675
0.8655 0.5000 0.7325
0.0000 0.5000 0.0000
0.5000 0.0000 0.0000
```

Total DFT energy (no corrections) = -4.96 eV/atom
Space group = No. 12
DFT formation energy = -0.038 eV/atom
Calculated density = 6.62 g cm⁻³